TlRePtF2: relaxed, PBEsol. Values from VASP.

The structure in Quantum ESPRESSO input format:
```
&SYSTEM
  ibrav = 0, nat = 5, ntyp = 4
/
ATOMIC_SPECIES
F 19.00 F.upf
Pt 195.08 Pt.upf
Re 186.21 Re.upf
Tl 204.38 Tl.upf
CELL_PARAMETERS angstrom
-1.483 -1.909 3.368
-3.231 -1.376 -2.203
2.862 -4.582 -1.337
ATOMIC_POSITIONS crystal
F 0.000 0.500 0.000
F 0.500 0.000 0.000
Pt 0.000 0.000 0.500
Re 0.500 0.500 0.500
Tl 0.000 0.000 0.000
```

***

RuPtF2: relaxed, PBEsol. Values from VASP.

The structure in Quantum ESPRESSO input format:
```
&SYSTEM
  ibrav = 0, nat = 4, ntyp = 3
/
ATOMIC_SPECIES
F 19.00 F.upf
Ru 101.07 Ru.upf
Pt 195.08 Pt.upf
CELL_PARAMETERS angstrom
4.123 0.000 0.000
2.062 3.571 0.000
2.062 1.190 3.366
ATOMIC_POSITIONS crystal
F 0.250 0.250 0.250
F 0.750 0.750 0.750
Ru 0.000 0.000 0.000
Pt 0.500 0.500 0.500
```

***

PtS2F: relaxed, PBEsol. Values from VASP.

The structure in Quantum ESPRESSO input format:
```
&SYSTEM
  ibrav = 0, nat = 4, ntyp = 3
/
ATOMIC_SPECIES
S 32.06 S.upf
Pt 195.08 Pt.upf
F 19.00 F.upf
CELL_PARAMETERS angstrom
3.612 0.000 0.000
1.806 3.128 0.000
1.806 1.043 6.572
ATOMIC_POSITIONS crystal
S 0.107 0.107 0.678
S 0.893 0.893 0.322
Pt 0.500 0.500 0.500
F 0.000 0.000 0.000
```

***

! Sc2PtF, relaxed, DFT PBEsol; values from VASP
&SYSTEM
  ibrav = 0, nat = 4, ntyp = 3
/
ATOMIC_SPECIES
F 19.00 F.upf
Pt 195.08 Pt.upf
Sc 44.96 Sc.upf
CELL_PARAMETERS angstrom
3.965 0.000 0.000
1.983 3.434 0.000
1.983 1.145 6.608
ATOMIC_POSITIONS crystal
F 0.000 0.000 0.000
Pt 0.500 0.500 0.500
Sc 0.898 0.898 0.305
Sc 0.102 0.102 0.695
! polymorph energy (0 for the lowest one): 0 meV/atom

***

no.,raw total energy (eV/atom),magnetic moment (μB per formula unit)
1,-4.9436,4.15
2,-4.8714,3.58
3,-4.9073,0.00
4,-7.3108,0.00